Computed, not measured: a relaxed structure of In2PPtF at the GGA-PBE level of DFT.

```
In2PPtF
1.0
5.3240 0.0000 0.0000
0.0000 4.5418 0.0000
0.0000 0.0000 5.3240
In F P Pt
2 1 1 1
Cartesian
2.6620 0.0000 0.0000
0.0000 0.0000 2.6620
2.6620 2.2709 2.6620
0.0000 2.2709 0.0000
0.0000 0.0000 0.0000
```

Results
Raw formation energy in eV/atom: -0.383
Calculated volume in A^3/atom: 25.7
E_tot in eV for the cell shown: -20.71
DOS(E_F) in states/eV/cell: 1.5